Compound: Ba2MgSi3Pd12
Source: Alexandria
Functional: GGA-PBE
Structure: relaxed

Cell and atoms, written as CIF:
```
data_Ba2MgSi3Pd12
_chemical_formula_sum 'Ba6 Mg3 Si9 Pd36'
_cell_length_a 8.7003
_cell_length_b 8.7003
_cell_length_c 17.0616
_cell_angle_alpha 90.00
_cell_angle_beta 90.00
_cell_angle_gamma 120.00
_space_group_name_H-M_alt 'R -3 m'
_space_group_IT_number 166
_space_group_name_Hall '-R 3 2"'
loop_
_atom_site_label
_atom_site_fract_x
_atom_site_fract_y
_atom_site_fract_z
Ba1 0.0000 0.0000 0.1095
Mg1 0.0000 0.0000 0.5000
Si1 0.0000 0.5000 0.0000
Pd1 0.0028 0.5014 0.1324
Pd2 0.0537 0.5269 0.3566
```

Results
The calculation puts the density of states at the Fermi level at 6.631 states/eV/f.u. The crystal system is trigonal. The calculation puts the total magnetic moment at 0.00 Bohr magnetons per cell. The calculation puts the calculated total energy at -5.00 eV per atom. The calculation puts the volume at 20.71 Å³ per atom. As for the uncorrected formation energy: -0.3347 eV/atom.